The following is a GGA-PBE calculation of crystalline NaTm2P2N6 at its relaxed geometry, from the Alexandria database.

Formation energy (no corrections) (meV per atom): -774
Space-group type: P-1

```
11
Lattice="5.792 0.000 0.000 -2.598 5.416 0.000 -2.497 -1.994 5.307" Properties=species:S:1:pos:R:3 pbc="T T T"
Na 0.000 0.000 0.000
Tm -0.365 3.010 1.588
Tm 1.062 0.412 3.719
P -2.041 2.531 3.921
P 2.739 0.891 1.387
N -3.201 1.934 4.792
N -2.215 3.775 2.947
N -0.590 1.918 3.812
N 1.287 1.504 1.495
N 2.913 -0.353 2.360
N 3.898 1.488 0.515
```

---

The following is a GGA-PBE calculation of crystalline Pm6Ge2Te3As at its relaxed geometry, from the Alexandria database.

Formation energy (no corrections) (meV per atom): -1343
Space-group type: C2/m

```
12
Lattice="9.586 -2.171 0.000 9.586 2.171 0.000 -2.213 0.000 8.544" Properties=species:S:1:pos:R:3 pbc="T T T"
Pm -0.386 0.000 2.021
Pm 5.325 0.000 3.689
Pm 4.494 0.000 7.694
Pm 12.466 0.000 0.850
Pm 11.634 0.000 4.855
Pm 17.345 0.000 6.523
Ge 2.455 0.000 2.839
Ge 14.505 0.000 5.705
Te 1.332 0.000 7.122
Te 8.480 0.000 4.272
Te 15.627 0.000 1.422
As 9.586 0.000 0.000
```

---

The following is a GGA-PBE calculation of crystalline PaTcN2 at its relaxed geometry, from the Alexandria database.

Formation energy (no corrections) (meV per atom): 216
Space-group type: P4/mmm

```
4
Lattice="2.947 0.000 0.000 0.000 2.947 0.000 0.000 0.000 5.558" Properties=species:S:1:pos:R:3 pbc="T T T"
Pa 0.000 0.000 0.000
Tc 0.000 0.000 2.779
N 1.474 1.474 1.459
N 1.474 1.474 4.099
```

---

The following is a GGA-PBE calculation of crystalline SrTlB2W at its relaxed geometry, from the Alexandria database.

ΔE_f (eV/atom): 3.064
Space-group type: P4/mmm

```
5
Lattice="4.802 0.000 0.000 0.000 4.802 0.000 0.000 0.000 5.237" Properties=species:S:1:pos:R:3 pbc="T T T"
Sr 0.000 0.000 0.000
Tl 2.401 2.401 2.619
B 0.000 2.401 0.000
B 2.401 0.000 0.000
W 0.000 0.000 2.619
```

---

The following is a GGA-PBE calculation of crystalline CePr4Nd3 at its relaxed geometry, from the Alexandria database.

ΔE_f (eV/atom): 0.225
Space-group type: C2/m

```
16
Lattice="25.908 0.000 0.000 0.000 3.514 0.000 -0.648 0.000 6.236" Properties=species:S:1:pos:R:3 pbc="T T T"
Ce 0.000 0.000 0.000
Ce 12.954 1.757 0.000
Pr 2.531 1.757 1.391
Pr 5.567 0.000 1.477
Pr 6.739 1.757 4.759
Pr 9.775 0.000 4.845
Pr 15.485 0.000 1.391
Pr 18.521 1.757 1.477
Pr 19.693 0.000 4.759
Pr 22.729 1.757 4.845
Nd -0.324 1.757 3.118
Nd 3.248 1.757 4.615
Nd 9.058 0.000 1.621
Nd 12.630 0.000 3.118
Nd 16.202 0.000 4.615
Nd 22.012 1.757 1.621
```

---

The following is a GGA-PBE calculation of crystalline AlGe at its relaxed geometry, from the Alexandria database.

ΔE_f (eV/atom): 0.223
Space-group type: P6_3mc

```
4
Lattice="3.789 0.000 0.000 -1.895 3.282 0.000 0.000 0.000 7.521" Properties=species:S:1:pos:R:3 pbc="T T T"
Al 0.000 2.188 0.000
Al 1.895 1.094 3.760
Ge 0.000 2.188 2.479
Ge 1.895 1.094 6.239
```

---

The following is a GGA-PBE calculation of crystalline Tb2InGa at its relaxed geometry, from the Alexandria database.

ΔE_f (eV/atom): -0.507
Space-group type: Fm-3m

```
16
Lattice="7.376 0.000 0.000 0.000 7.376 0.000 0.000 0.000 7.376" Properties=species:S:1:pos:R:3 pbc="T T T"
Tb 1.844 1.844 1.844
Tb 1.844 1.844 5.532
Tb 1.844 5.532 1.844
Tb 1.844 5.532 5.532
Tb 5.532 1.844 1.844
Tb 5.532 1.844 5.532
Tb 5.532 5.532 1.844
Tb 5.532 5.532 5.532
In 0.000 0.000 0.000
In 0.000 3.688 3.688
In 3.688 0.000 3.688
In 3.688 3.688 0.000
Ga 0.000 0.000 3.688
Ga 0.000 3.688 0.000
Ga 3.688 0.000 0.000
Ga 3.688 3.688 3.688
```

---

The following is a GGA-PBE calculation of crystalline NaPa3S6 at its relaxed geometry, from the Alexandria database.

Formation energy (no corrections) (meV per atom): -1532
Space-group type: P2_1/m

```
20
Lattice="11.116 0.000 0.000 0.000 4.061 0.000 -3.566 0.000 10.885" Properties=species:S:1:pos:R:3 pbc="T T T"
Na 0.301 1.015 1.984
Na 7.249 3.046 8.901
Pa -0.253 1.015 6.157
Pa -0.095 3.046 10.731
Pa 4.326 1.015 3.593
Pa 3.225 3.046 7.292
Pa 7.646 1.015 0.154
Pa 7.803 3.046 4.728
S -0.593 3.046 4.324
S -1.843 1.015 10.268
S 0.327 3.046 7.878
S 2.705 3.046 2.519
S 2.371 1.015 5.557
S 4.897 1.015 0.944
S 2.653 3.046 9.941
S 5.180 3.046 5.328
S 4.845 1.015 8.367
S 7.223 1.015 3.007
S 9.393 3.046 0.617
S 8.143 1.015 6.561
```

---

The following is a GGA-PBE calculation of crystalline Na2MgCuP2 at its relaxed geometry, from the Alexandria database.

ΔE_f (eV/atom): -0.386
Space-group type: Ibam

```
12
Lattice="-2.853 6.980 2.910 2.853 -6.980 2.910 2.853 6.980 -2.910" Properties=species:S:1:pos:R:3 pbc="T T T"
Na 1.387 2.529 0.000
Na 1.387 -2.529 2.910
Na 1.466 9.509 0.000
Na 1.466 4.450 2.910
Mg 2.853 0.000 1.455
Mg 0.000 6.980 1.455
Cu 0.000 0.000 1.455
Cu 0.000 0.000 4.366
P 4.399 1.464 0.000
P 1.546 5.516 0.000
P 1.307 1.464 2.910
P -1.546 5.516 2.910
```

---

The following is a GGA-PBE calculation of crystalline K2CaInBi2 at its relaxed geometry, from the Alexandria database.

ΔE_f (eV/atom): -0.475
Space-group type: Ibam

```
12
Lattice="-3.622 8.663 3.777 3.622 -8.663 3.777 3.622 8.663 -3.777" Properties=species:S:1:pos:R:3 pbc="T T T"
K 1.661 3.052 0.000
K 1.661 -3.052 3.777
K 1.961 11.715 0.000
K 1.961 5.610 3.777
Ca 3.622 0.000 1.888
Ca 0.000 8.663 1.888
In 0.000 0.000 1.888
In 0.000 0.000 5.665
Bi 5.428 1.891 0.000
Bi 1.806 6.771 0.000
Bi 1.815 1.891 3.777
Bi -1.806 6.771 3.777
```

---

The following is a GGA-PBE calculation of crystalline VCrBr at its relaxed geometry, from the Alexandria database.

Formation energy (no corrections) (meV per atom): -95
Space-group type: P2_1/m

```
6
Lattice="3.629 0.000 0.000 0.000 3.837 0.000 -1.390 0.000 9.078" Properties=species:S:1:pos:R:3 pbc="T T T"
V -0.107 0.959 1.010
V 2.346 2.878 8.068
Cr 1.515 2.878 0.627
Cr 0.724 0.959 8.451
Br 0.167 2.878 2.821
Br 2.072 0.959 6.257
```

---

The following is a GGA-PBE calculation of crystalline V2IrOs at its relaxed geometry, from the Alexandria database.

ΔE_f (eV/atom): -0.353
Space-group type: C2/m

```
16
Lattice="8.874 0.000 0.000 0.000 5.712 0.000 -0.576 0.000 4.390" Properties=species:S:1:pos:R:3 pbc="T T T"
V 0.824 1.412 0.935
V 0.824 4.300 0.935
V 3.037 1.444 3.455
V 3.037 4.268 3.455
V 5.262 1.444 0.935
V 5.262 4.268 0.935
V 7.474 1.412 3.455
V 7.474 4.300 3.455
Ir 0.832 2.856 3.144
Ir 3.029 0.000 1.247
Ir 5.270 0.000 3.144
Ir 7.466 2.856 1.247
Os 0.833 0.000 3.169
Os 3.028 2.856 1.222
Os 5.270 2.856 3.169
Os 7.465 0.000 1.222
```

---

Fermi-level density of states per entry: 0.26, 0.20, 1.01, 1.10, 1.70, 0.43, 0.34, 1.11, 0.43, 0.40, 0.43, 0.90 states/eV/atom
VASP energy per entry: -7.232, -5.660, -8.912, -3.007, -4.695, -3.957, -4.264, -6.989, -3.577, -2.924, -6.900, -9.935 eV per atom